{"formula": "ZrCdSe2", "functional": "meta-GGA SCAN", "state": "PBEsol geometry", "total_magnetization_mub_per_cell": 0.000, "e_form_raw_mev_per_atom": -852.0, "final_energy_ev_per_cell": -104.68, "lattice_angstrom": [[-1.7774, 1.8585, 6.4330], [1.7774, -1.8585, 6.4330], [1.7774, 1.8585, -6.4330]], "species": ["Zr", "Cd", "Se", "Se"], "fractional_positions": [[0.0000, 0.0000, 0.0000], [0.2587, 0.7587, 0.5000], [0.5787, 0.5787, 0.0000], [0.8438, 0.3438, 0.5000]]}



{"formula": "LiCuNi2", "functional": "meta-GGA SCAN", "state": "PBEsol geometry", "total_magnetization_mub_per_cell": 0.006, "final_energy_ev_per_cell": -49.78, "formation_enthalpy_0k_mev_per_atom": 38.9, "lattice_angstrom": [[2.4046, -4.0808, 0.0000], [2.4046, 4.0808, 0.0000], [-1.0293, 0.0000, 2.1749]], "species": ["Li", "Cu", "Ni", "Ni"], "fractional_positions": [[0.0000, 0.0000, 0.0000], [0.5000, 0.5000, 0.0000], [0.0000, 0.5000, 0.5000], [0.5000, 0.0000, 0.5000]]}



{"formula": "RbPt2Se3", "functional": "meta-GGA SCAN", "state": "PBEsol geometry", "total_magnetization_mub_per_cell": 0.000, "e_form_raw_mev_per_atom": -778.1, "final_energy_ev_per_cell": -452.06, "lattice_angstrom": [[3.7143, 2.1445, 6.6472], [-3.7143, 2.1445, 6.6472], [0.0000, -4.2889, 6.6472]], "species": ["Rb", "Rb", "Pt", "Pt", "Pt", "Pt", "Se", "Se", "Se", "Se", "Se", "Se"], "fractional_positions": [[0.1996, 0.1996, 0.1996], [0.8004, 0.8004, 0.8004], [0.0000, 0.0000, 0.0000], [0.0000, 0.5000, 0.5000], [0.5000, 0.0000, 0.5000], [0.5000, 0.5000, 0.0000], [0.2321, 0.2321, 0.7192], [0.2321, 0.7192, 0.2321], [0.2808, 0.7679, 0.7679], [0.7192, 0.2321, 0.2321], [0.7679, 0.2808, 0.7679], [0.7679, 0.7679, 0.2808]]}



{"formula": "YBAs2Br", "functional": "meta-GGA SCAN", "state": "PBEsol geometry", "total_magnetization_mub_per_cell": 1.310, "e_form_raw_mev_per_atom": 1067.7, "final_energy_ev_per_cell": -89.77, "lattice_angstrom": [[5.4174, 0.0000, 0.0000], [0.0000, 5.4174, 0.0000], [0.0000, 0.0000, 4.7424]], "species": ["Y", "B", "As", "As", "Br"], "fractional_positions": [[0.0000, 0.0000, 0.0000], [0.0000, 0.0000, 0.5000], [0.0000, 0.5000, 0.0000], [0.5000, 0.0000, 0.0000], [0.5000, 0.5000, 0.5000]]}



{"formula": "Ti2ZnTcBr", "functional": "meta-GGA SCAN", "state": "PBEsol geometry", "total_magnetization_mub_per_cell": 0.006, "e_form_raw_mev_per_atom": 858.4, "final_energy_ev_per_cell": -95.80, "lattice_angstrom": [[4.5550, 0.0000, 0.0000], [0.0000, 4.5550, 0.0000], [0.0000, 0.0000, 4.5059]], "species": ["Ti", "Ti", "Zn", "Tc", "Br"], "fractional_positions": [[0.0000, 0.5000, 0.0000], [0.5000, 0.0000, 0.0000], [0.0000, 0.0000, 0.5000], [0.5000, 0.5000, 0.5000], [0.5000, 0.5000, 0.0000]]}



{"formula": "MnFe2W", "functional": "meta-GGA SCAN", "state": "PBEsol geometry", "total_magnetization_mub_per_cell": 5.058, "final_energy_ev_per_cell": -124.07, "formation_enthalpy_0k_mev_per_atom": 32.6, "relative_energy_ev_per_fu": 0.11, "lattice_angstrom": [[0.0000, 2.8823, 2.8823], [2.8823, 0.0000, 2.8823], [2.8823, 2.8823, 0.0000]], "species": ["Mn", "Fe", "Fe", "W"], "fractional_positions": [[0.0000, 0.0000, 0.0000], [0.2500, 0.2500, 0.2500], [0.5000, 0.5000, 0.5000], [0.7500, 0.7500, 0.7500]]}



{"formula": "NaSi2Au2", "functional": "meta-GGA SCAN", "state": "PBEsol geometry", "total_magnetization_mub_per_cell": 0.002, "e_form_raw_mev_per_atom": -263.4, "final_energy_ev_per_cell": -163.88, "lattice_angstrom": [[-2.1755, 2.1755, 4.8678], [2.1755, -2.1755, 4.8678], [2.1755, 2.1755, -4.8678]], "species": ["Na", "Si", "Si", "Au", "Au"], "fractional_positions": [[0.0000, 0.0000, 0.0000], [0.3804, 0.3804, 0.0000], [0.6196, 0.6196, 0.0000], [0.2500, 0.7500, 0.5000], [0.7500, 0.2500, 0.5000]]}



{"formula": "SrHgPb2", "functional": "meta-GGA SCAN", "state": "PBEsol geometry", "total_magnetization_mub_per_cell": 0.000, "final_energy_ev_per_cell": -243.63, "formation_enthalpy_0k_mev_per_atom": -405.9, "lattice_angstrom": [[3.9816, 0.0000, 0.0000], [0.0000, 3.9816, 0.0000], [0.0000, 0.0000, 7.3951]], "species": ["Sr", "Hg", "Pb", "Pb"], "fractional_positions": [[0.0000, 0.0000, 0.0000], [0.5000, 0.5000, 0.2499], [0.0000, 0.0000, 0.4789], [0.5000, 0.5000, 0.7038]]}